[1]
Compound: DyHo2Tm3Sb6
Source: Alexandria via LeMat-Bulk
Functional: PBE
Structure: optimized geometry

Unit cell a=9.7341 b=9.7341 c=8.7081 alpha=102.85 beta=102.85 gamma=25.84
Closest atoms and distances in Å follow each position.
Positions (direct):
Dy 0.0000 0.0000 0.0000  6 Sb 3.09
Ho 0.3333 0.3333 0.6670  6 Sb 3.09
Ho 0.6667 0.6667 0.3330  6 Sb 3.09
Tm 0.0000 0.0000 0.5000  6 Sb 3.06-3.07
Tm 0.3335 0.3335 0.1671  6 Sb 3.07
Tm 0.6665 0.6665 0.8329  6 Sb 3.07
Sb 0.1662 0.1662 0.5843  3 Tm 3.07, 3 Ho 3.09
Sb 0.1675 0.1675 0.0819  3 Tm 3.07, 2 Ho 3.09, 1 Dy 3.09
Sb 0.4996 0.4996 0.2521  3 Tm 3.06-3.07, 1 Ho 3.09, 2 Dy 3.09
Sb 0.5004 0.5004 0.7479  3 Tm 3.06-3.07, 1 Ho 3.09, 2 Dy 3.09
Sb 0.8325 0.8325 0.9181  3 Tm 3.07, 2 Ho 3.09, 1 Dy 3.09
Sb 0.8338 0.8338 0.4157  3 Tm 3.07, 3 Ho 3.09

## Properties
Fermi-level density of states (states/eV/f.u.): 1.901
Formation energy without anion corrections (eV/atom): -1.09
Total DFT energy (no corrections) (eV per atom): -5.419
Total magnetic moment (μB/f.u.): 0.0

[2]
Compound: DyHo3Tm2Sb6
Source: Alexandria via LeMat-Bulk
Functional: PBE
Structure: optimized geometry

Unit cell a=9.7455 b=9.7455 c=8.7185 alpha=102.86 beta=102.86 gamma=25.84
Closest atoms and distances in Å follow each position.
Positions (direct):
Dy 0.0000 0.0000 0.0000  6 Sb 3.09
Ho 0.0000 0.0000 0.5000  6 Sb 3.08-3.09
Ho 0.3338 0.3338 0.1671  6 Sb 3.08-3.09
Ho 0.6662 0.6662 0.8329  6 Sb 3.08-3.09
Tm 0.3332 0.3332 0.6667  6 Sb 3.07
Tm 0.6668 0.6668 0.3333  6 Sb 3.07
Sb 0.1671 0.1671 0.0850  2 Tm 3.07, 3 Ho 3.08-3.09, 1 Dy 3.09
Sb 0.1672 0.1672 0.5818  3 Tm 3.07, 3 Ho 3.09
Sb 0.4993 0.4993 0.7488  1 Tm 3.07, 3 Ho 3.08-3.09, 2 Dy 3.09
Sb 0.5007 0.5007 0.2512  1 Tm 3.07, 3 Ho 3.08-3.09, 2 Dy 3.09
Sb 0.8328 0.8328 0.4182  3 Tm 3.07, 3 Ho 3.09
Sb 0.8329 0.8329 0.9150  2 Tm 3.07, 3 Ho 3.08-3.09, 1 Dy 3.09

## Properties
Fermi-level density of states (states/eV/f.u.): 1.900
Formation energy without anion corrections (eV/atom): -1.10
Total DFT energy (no corrections) (eV per atom): -5.436
Total magnetic moment (μB/f.u.): 0.0

[3]
Compound: Dy2HoTm3Sb6
Source: Alexandria via LeMat-Bulk
Functional: PBE
Structure: optimized geometry

Unit cell a=9.7401 b=9.7401 c=8.7131 alpha=102.85 beta=102.85 gamma=25.84
Closest atoms and distances in Å follow each position.
Positions (direct):
Dy 0.1665 0.1665 0.3330  6 Sb 3.09-3.10
Dy 0.8335 0.8335 0.6670  6 Sb 3.09-3.10
Ho 0.5000 0.5000 0.0000  6 Sb 3.09
Tm 0.1668 0.1668 0.8332  6 Sb 3.07
Tm 0.5000 0.5000 0.5000  6 Sb 3.07
Tm 0.8332 0.8332 0.1668  6 Sb 3.07
Sb 0.0009 0.0009 0.7489  3 Tm 3.07, 2 Ho 3.09, 1 Dy 3.10
Sb 0.3329 0.3329 0.9190  3 Tm 3.07, 1 Ho 3.09, 2 Dy 3.09
Sb 0.3341 0.3341 0.4150  3 Tm 3.07, 3 Dy 3.09-3.10
Sb 0.6659 0.6659 0.5850  3 Tm 3.07, 3 Dy 3.09-3.10
Sb 0.6671 0.6671 0.0810  3 Tm 3.07, 1 Ho 3.09, 2 Dy 3.09
Sb 0.9991 0.9991 0.2511  3 Tm 3.07, 2 Ho 3.09, 1 Dy 3.10

## Properties
Fermi-level density of states (states/eV/f.u.): 1.901
Formation energy without anion corrections (eV/atom): -1.10
Total DFT energy (no corrections) (eV per atom): -5.425
Total magnetic moment (μB/f.u.): 0.0

[4]
Compound: Dy2HoTmSb4
Source: Alexandria via LeMat-Bulk
Functional: PBE
Structure: optimized geometry

Unit cell a=7.5639 b=4.3705 c=7.5642 alpha=90.00 beta=109.47 gamma=90.00
Closest atoms and distances in Å follow each position.
Positions (direct):
Dy 0.0000 0.0000 0.0000  6 Sb 3.10
Dy 0.5000 0.5000 0.0000  6 Sb 3.09
Ho 0.0000 0.5000 0.5000  6 Sb 3.08
Tm 0.5000 0.0000 0.5000  6 Sb 3.07-3.08
Sb 0.2503 0.0000 0.7481  1 Tm 3.07, 2 Ho 3.08, 3 Dy 3.09-3.10
Sb 0.2519 0.5000 0.2527  2 Tm 3.08, 1 Ho 3.08, 3 Dy 3.09-3.10
Sb 0.7481 0.5000 0.7473  2 Tm 3.08, 1 Ho 3.08, 3 Dy 3.09-3.10
Sb 0.7497 0.0000 0.2519  1 Tm 3.07, 2 Ho 3.08, 3 Dy 3.09-3.10

## Properties
Fermi-level density of states (states/eV/f.u.): 1.116
Formation energy without anion corrections (eV/atom): -1.11
Total DFT energy (no corrections) (eV per atom): -5.454
Total magnetic moment (μB/f.u.): 0.0

[5]
Compound: Dy3Ho2TmSb6
Source: Alexandria via LeMat-Bulk
Functional: PBE
Structure: optimized geometry

Unit cell a=9.7690 b=9.7690 c=8.7388 alpha=102.86 beta=102.86 gamma=25.84
Closest atoms and distances in Å follow each position.
Positions (direct):
Dy 0.0000 0.0000 0.0000  6 Sb 3.10
Dy 0.3330 0.3330 0.6668  6 Sb 3.09-3.10
Dy 0.6670 0.6670 0.3332  6 Sb 3.09-3.10
Ho 0.3335 0.3335 0.1670  6 Sb 3.08-3.09
Ho 0.6665 0.6665 0.8330  6 Sb 3.08-3.09
Tm 0.0000 0.0000 0.5000  6 Sb 3.07-3.08
Sb 0.1657 0.1657 0.5833  1 Tm 3.07, 2 Ho 3.08, 3 Dy 3.09-3.10
Sb 0.1670 0.1670 0.0825  3 Ho 3.08-3.09, 3 Dy 3.09-3.10
Sb 0.5000 0.5000 0.2523  2 Tm 3.08, 1 Ho 3.09, 3 Dy 3.10
Sb 0.5000 0.5000 0.7477  2 Tm 3.08, 1 Ho 3.09, 3 Dy 3.10
Sb 0.8330 0.8330 0.9175  3 Ho 3.08-3.09, 3 Dy 3.09-3.10
Sb 0.8343 0.8343 0.4167  1 Tm 3.07, 2 Ho 3.08, 3 Dy 3.09-3.10

## Properties
Fermi-level density of states (states/eV/f.u.): 1.899
Formation energy without anion corrections (eV/atom): -1.12
Total DFT energy (no corrections) (eV per atom): -5.463
Total magnetic moment (μB/f.u.): 0.0

[6]
Compound: Dy2Y3HoSb6
Source: Alexandria via LeMat-Bulk
Functional: PBE
Structure: optimized geometry

Unit cell a=7.5973 b=7.5973 c=7.5920 alpha=99.59 beta=99.59 gamma=120.00
Closest atoms and distances in Å follow each position.
Positions (direct):
Dy 0.1665 0.8335 0.0000  6 Sb 3.10
Dy 0.8335 0.1665 0.0000  6 Sb 3.10
Y 0.0000 0.0000 0.5000  6 Sb 3.10-3.11
Y 0.3329 0.6671 0.5000  6 Sb 3.10-3.11
Y 0.6671 0.3329 0.5000  6 Sb 3.10-3.11
Ho 0.5000 0.5000 0.0000  6 Sb 3.09
Sb 0.0844 0.4171 0.7512  1 Ho 3.09, 2 Dy 3.10, 3 Y 3.10-3.11
Sb 0.2505 0.2505 0.2493  1 Ho 3.09, 2 Dy 3.10, 3 Y 3.11
Sb 0.4171 0.0844 0.7512  1 Ho 3.09, 2 Dy 3.10, 3 Y 3.10-3.11
Sb 0.5829 0.9156 0.2488  1 Ho 3.09, 2 Dy 3.10, 3 Y 3.10-3.11
Sb 0.7495 0.7495 0.7507  1 Ho 3.09, 2 Dy 3.10, 3 Y 3.11
Sb 0.9156 0.5829 0.2488  1 Ho 3.09, 2 Dy 3.10, 3 Y 3.10-3.11

## Properties
Fermi-level density of states (states/eV/f.u.): 2.196
Formation energy without anion corrections (eV/atom): -1.15
Total DFT energy (no corrections) (eV per atom): -5.972
Total magnetic moment (μB/f.u.): 0.0

[7]
Compound: Dy2YHo3Sb6
Source: Alexandria via LeMat-Bulk
Functional: PBE
Structure: optimized geometry

Unit cell a=9.7882 b=9.7882 c=8.7557 alpha=102.87 beta=102.87 gamma=25.84
Closest atoms and distances in Å follow each position.
Positions (direct):
Dy 0.1667 0.1667 0.3331  6 Sb 3.10
Dy 0.8333 0.8333 0.6669  6 Sb 3.10
Y 0.5000 0.5000 0.0000  6 Sb 3.10
Ho 0.1665 0.1665 0.8331  6 Sb 3.09
Ho 0.5000 0.5000 0.5000  6 Sb 3.09
Ho 0.8335 0.8335 0.1669  6 Sb 3.09
Sb 0.9999 0.9999 0.2511  3 Ho 3.09, 1 Dy 3.10, 2 Y 3.10
Sb 0.0001 0.0001 0.7489  3 Ho 3.09, 1 Dy 3.10, 2 Y 3.10
Sb 0.3329 0.3329 0.9174  3 Ho 3.09, 2 Dy 3.10, 1 Y 3.10
Sb 0.3336 0.3336 0.4162  3 Ho 3.09, 3 Dy 3.10
Sb 0.6664 0.6664 0.5838  3 Ho 3.09, 3 Dy 3.10
Sb 0.6671 0.6671 0.0826  3 Ho 3.09, 2 Dy 3.10, 1 Y 3.10

## Properties
Fermi-level density of states (states/eV/f.u.): 1.913
Formation energy without anion corrections (eV/atom): -1.13
Total DFT energy (no corrections) (eV per atom): -5.640
Total magnetic moment (μB/f.u.): 0.0

[8]
Compound: Dy3YHo2Sb6
Source: Alexandria via LeMat-Bulk
Functional: PBE
Structure: optimized geometry

Unit cell a=9.7939 b=9.7939 c=8.7609 alpha=102.86 beta=102.86 gamma=25.84
Closest atoms and distances in Å follow each position.
Positions (direct):
Dy 0.0000 0.0000 0.0000  6 Sb 3.09-3.10
Dy 0.3335 0.3335 0.6668  6 Sb 3.10
Dy 0.6665 0.6665 0.3332  6 Sb 3.10
Y 0.0000 0.0000 0.5000  6 Sb 3.10
Ho 0.3333 0.3333 0.1666  6 Sb 3.09
Ho 0.6667 0.6667 0.8334  6 Sb 3.09
Sb 0.1669 0.1669 0.0826  3 Ho 3.09, 3 Dy 3.10
Sb 0.1669 0.1669 0.5842  2 Ho 3.09, 3 Dy 3.10, 1 Y 3.10
Sb 0.4997 0.4997 0.2494  1 Ho 3.09, 3 Dy 3.09-3.10, 2 Y 3.10
Sb 0.5003 0.5003 0.7506  1 Ho 3.09, 3 Dy 3.09-3.10, 2 Y 3.10
Sb 0.8331 0.8331 0.4158  2 Ho 3.09, 3 Dy 3.10, 1 Y 3.10
Sb 0.8331 0.8331 0.9174  3 Ho 3.09, 3 Dy 3.10

## Properties
Fermi-level density of states (states/eV/f.u.): 1.914
Formation energy without anion corrections (eV/atom): -1.13
Total DFT energy (no corrections) (eV per atom): -5.645
Total magnetic moment (μB/f.u.): 0.0

[9]
Compound: DyHo7Sc3
Source: Alexandria via LeMat-Bulk
Functional: PBE
Structure: optimized geometry

Unit cell a=9.5654 b=9.5654 c=10.9048 alpha=90.17 beta=90.17 gamma=138.97
Closest atoms and distances in Å follow each position.
Positions (direct):
Dy 0.0000 0.0000 0.0000  6 Ho 3.20-3.39, 2 Sc 3.35
Dy 0.5000 0.5000 0.5000  10 Ho 3.23-3.57, 2 Sc 3.35
Ho 0.0868 0.4118 0.5367  4 Ho 3.24-3.46, 3 Sc 3.27-3.38, 1 Dy 3.39
Ho 0.0895 0.4145 0.9631  4 Ho 3.24-3.48, 3 Sc 3.26-3.38, 1 Dy 3.39
Ho 0.1632 0.3447 0.2498  3 Ho 3.25-3.38, 4 Sc 3.30-3.62, 2 Dy 3.57-3.59
Ho 0.2452 0.2452 0.7495  2 Sc 3.17-3.21, 2 Dy 3.20-3.23
Ho 0.3447 0.1632 0.2498  3 Ho 3.25-3.38, 4 Sc 3.30-3.62, 2 Dy 3.57-3.59
Ho 0.4118 0.0868 0.5367  4 Ho 3.24-3.46, 3 Sc 3.27-3.38, 1 Dy 3.39
Ho 0.4145 0.0895 0.9631  4 Ho 3.24-3.48, 3 Sc 3.26-3.38, 1 Dy 3.39
Ho 0.5855 0.9105 0.0369  4 Ho 3.24-3.48, 3 Sc 3.26-3.38, 1 Dy 3.39
Ho 0.5882 0.9132 0.4633  4 Ho 3.24-3.46, 3 Sc 3.27-3.38, 1 Dy 3.39
Ho 0.6553 0.8368 0.7502  3 Ho 3.25-3.38, 4 Sc 3.30-3.62, 2 Dy 3.57-3.59
Ho 0.7548 0.7548 0.2505  2 Sc 3.17-3.21, 2 Dy 3.20-3.23
Ho 0.8368 0.6553 0.7502  3 Ho 3.25-3.38, 4 Sc 3.30-3.62, 2 Dy 3.57-3.59
Ho 0.9105 0.5855 0.0369  4 Ho 3.24-3.48, 3 Sc 3.26-3.38, 1 Dy 3.39
Ho 0.9132 0.5882 0.4633  4 Ho 3.24-3.46, 3 Sc 3.27-3.38, 1 Dy 3.39
Sc 0.0000 0.0000 0.5000  6 Ho 3.17-3.38, 2 Dy 3.35
Sc 0.2479 0.7502 0.7500  6 Ho 3.26-3.32, 2 Sc 3.35
Sc 0.2498 0.7521 0.2500  6 Ho 3.26-3.32, 2 Sc 3.35
Sc 0.5000 0.5000 0.0000  10 Ho 3.21-3.59, 2 Dy 3.35
Sc 0.7502 0.2479 0.7500  6 Ho 3.26-3.32, 2 Sc 3.35
Sc 0.7521 0.2498 0.2500  6 Ho 3.26-3.32, 2 Sc 3.35

## Properties
Fermi-level density of states (states/eV/f.u.): 18.320
Total DFT energy (no corrections) (eV per atom): -4.902
Total magnetic moment (μB/f.u.): 0.0
Energy relative to the elements (eV/atom): 0.156
Excess energy over the best structure of this formula in the dataset (eV per atom): 0.000

[10]
Compound: Dy2Ho2Sc5
Source: Alexandria via LeMat-Bulk
Functional: PBE
Structure: optimized geometry

Unit cell a=3.4253 b=8.3767 c=8.9854 alpha=76.60 beta=79.02 gamma=89.94
Closest atoms and distances in Å follow each position.
Positions (direct):
Dy 0.0905 0.3368 0.3178  9 Sc 3.29-3.45, 1 Ho 3.38, 2 Dy 3.43
Dy 0.9095 0.6632 0.6822  9 Sc 3.29-3.45, 1 Ho 3.38, 2 Dy 3.43
Ho 0.1650 0.9995 0.1700  7 Sc 3.34-3.41, 1 Dy 3.38, 4 Ho 3.43-3.45
Ho 0.8350 0.0005 0.8300  7 Sc 3.34-3.41, 1 Dy 3.38, 4 Ho 3.43-3.45
Sc 0.2391 0.6604 0.0225  6 Sc 3.29-3.43, 3 Dy 3.29-3.45, 3 Ho 3.39-3.41
Sc 0.4246 0.3347 0.6509  4 Dy 3.31-3.40, 2 Ho 3.34-3.35, 6 Sc 3.36-3.43
Sc 0.5000 0.0000 0.5000  4 Dy 3.37, 4 Sc 3.38-3.43, 4 Ho 3.38
Sc 0.5754 0.6653 0.3491  4 Dy 3.31-3.40, 2 Ho 3.34-3.35, 6 Sc 3.36-3.43
Sc 0.7609 0.3396 0.9775  6 Sc 3.29-3.43, 3 Dy 3.29-3.45, 3 Ho 3.39-3.41

## Properties
Fermi-level density of states (states/eV/f.u.): 14.203
Total DFT energy (no corrections) (eV per atom): -5.531
Total magnetic moment (μB/f.u.): 0.0
Energy relative to the elements (eV/atom): 0.026
Excess energy over the best structure of this formula in the dataset (eV per atom): 0.000

[11]
Compound: Dy3Ho4Sc
Source: Alexandria via LeMat-Bulk
Functional: PBE
Structure: optimized geometry

Unit cell a=11.0847 b=7.1633 c=6.1874 alpha=90.00 beta=90.00 gamma=90.00
Closest atoms and distances in Å follow each position.
Positions (direct):
Dy 0.0000 0.1239 0.0000  4 Dy 3.44-3.45, 6 Ho 3.48-3.60, 2 Sc 3.57
Dy 0.2497 0.1230 0.3315  4 Dy 3.44-3.56, 2 Sc 3.45, 6 Ho 3.46-3.61
Dy 0.2503 0.8770 0.8315  4 Dy 3.44-3.56, 2 Sc 3.45, 6 Ho 3.46-3.61
Dy 0.5000 0.8761 0.5000  4 Dy 3.44-3.45, 6 Ho 3.48-3.60, 2 Sc 3.57
Dy 0.7503 0.1230 0.3315  4 Dy 3.44-3.56, 2 Sc 3.45, 6 Ho 3.46-3.61
Dy 0.7497 0.8770 0.8315  4 Dy 3.44-3.56, 2 Sc 3.45, 6 Ho 3.46-3.61
Ho 0.0000 0.3736 0.5038  6 Ho 3.44-3.61, 4 Dy 3.47-3.59, 2 Sc 3.57-3.60
Ho 0.0000 0.6258 0.9980  6 Ho 3.44-3.61, 4 Dy 3.46-3.60, 2 Sc 3.57-3.58
Ho 0.2460 0.6270 0.3363  1 Sc 3.41, 6 Ho 3.44-3.59, 5 Dy 3.48-3.61
Ho 0.2540 0.3730 0.8363  1 Sc 3.41, 6 Ho 3.44-3.59, 5 Dy 3.48-3.61
Ho 0.5000 0.3742 0.4980  6 Ho 3.44-3.61, 4 Dy 3.46-3.60, 2 Sc 3.57-3.58
Ho 0.5000 0.6264 0.0038  6 Ho 3.44-3.61, 4 Dy 3.47-3.59, 2 Sc 3.57-3.60
Ho 0.7460 0.3730 0.8363  1 Sc 3.41, 6 Ho 3.44-3.59, 5 Dy 3.48-3.61
Ho 0.7540 0.6270 0.3363  1 Sc 3.41, 6 Ho 3.44-3.59, 5 Dy 3.48-3.61
Sc 0.0000 0.8756 0.4994  6 Ho 3.41-3.60, 6 Dy 3.45-3.57
Sc 0.5000 0.1244 0.9994  6 Ho 3.41-3.60, 6 Dy 3.45-3.57

## Properties
Fermi-level density of states (states/eV/f.u.): 13.420
Total DFT energy (no corrections) (eV per atom): -4.793
Total magnetic moment (μB/f.u.): 0.0
Energy relative to the elements (eV/atom): 0.013
Excess energy over the best structure of this formula in the dataset (eV per atom): 0.000

[12]
Compound: Dy7Ho3Sc
Source: Alexandria via LeMat-Bulk
Functional: PBE
Structure: optimized geometry

Unit cell a=9.7055 b=9.7055 c=6.5058 alpha=100.75 beta=100.75 gamma=138.46
Closest atoms and distances in Å follow each position.
Positions (direct):
Dy 0.0000 0.0000 0.0000  2 Sc 3.25, 2 Ho 3.26
Dy 0.0597 0.3799 0.4429  4 Dy 3.33-3.52, 1 Sc 3.38, 3 Ho 3.40-3.41
Dy 0.3799 0.0597 0.4429  4 Dy 3.33-3.52, 1 Sc 3.38, 3 Ho 3.40-3.41
Dy 0.4140 0.5860 0.0000  3 Dy 3.12-3.36, 2 Ho 3.44
Dy 0.5860 0.4140 0.0000  3 Dy 3.12-3.36, 2 Ho 3.44
Dy 0.6201 0.9403 0.5571  4 Dy 3.33-3.52, 1 Sc 3.38, 3 Ho 3.40-3.41
Dy 0.9403 0.6201 0.5571  4 Dy 3.33-3.52, 1 Sc 3.38, 3 Ho 3.40-3.41
Ho 0.0000 0.5000 0.0000  6 Dy 3.41-3.44, 2 Ho 3.44
Ho 0.5000 0.0000 0.0000  6 Dy 3.41-3.44, 2 Ho 3.44
Ho 0.5000 0.5000 0.5000  10 Dy 3.26-3.61, 2 Sc 3.44
Sc 0.0000 0.0000 0.5000  10 Dy 3.25-3.62, 2 Ho 3.44

## Properties
Fermi-level density of states (states/eV/f.u.): 16.928
Total DFT energy (no corrections) (eV per atom): -4.603
Total magnetic moment (μB/f.u.): 0.0
Energy relative to the elements (eV/atom): 0.149
Excess energy over the best structure of this formula in the dataset (eV per atom): 0.000